[1]
Entry from the Open Quantum Materials Database: a relaxed structure of GeMo4PbN2 (PBE-GGA).

The calculation puts the total moment at 0.01 μB per cell. Its calculated volume is 118 Å³/cell. For the calculated total energy, the calculation gives -8.5083 eV/atom.

It has space group P-6m2 (No. 187), with a = 3.3031 Å, b = 3.3031 Å, c = 12.4391 Å, α = 90.00°, β = 90.00° and γ = 120.00°. The inequivalent atoms are Ge at (0.0000, 0.0000, 0.0000), Mo at (0.0000, 0.0000, 0.3056), Mo at (0.6667, 0.3333, 0.1458), Pb at (0.6667, 0.3333, 0.5000) and N at (0.3333, 0.6667, 0.2466).

[2]
Entry from the Open Quantum Materials Database: a relaxed structure of SiGeMo4N2 (PBE-GGA).

The calculation puts the total moment at 0.01 μB per cell. Its calculated volume is 102 Å³/cell. For the calculated total energy, the calculation gives -8.8369 eV/atom.

It has space group P-6m2 (No. 187), with a = 2.9923 Å, b = 2.9923 Å, c = 13.1735 Å, α = 90.00°, β = 90.00° and γ = 120.00°. The inequivalent atoms are Si at (0.0000, 0.0000, 0.0000), Ge at (0.3333, 0.6667, 0.5000), Mo at (0.0000, 0.0000, 0.3436), Mo at (0.3333, 0.6667, 0.1467) and N at (0.6667, 0.3333, 0.2468).